(1)
The following is a PBE calculation of a geometry-optimized Ce5SmSn6 structure, from the Alexandria database.

a = 5.847 Å, b = 6.506 Å, c = 9.233 Å
α = 90.00°, β = 108.23°, γ = 90.00°
Sites, in units of the cell vectors:
1 Ce 0.000 0.000 0.000
2 Ce 0.333 0.000 0.667
3 Ce 0.334 0.500 0.669
4 Ce 0.666 0.500 0.331
5 Ce 0.667 0.000 0.333
6 Sm 0.000 0.500 0.000
7 Sn 0.167 0.252 0.334
8 Sn 0.167 0.748 0.334
9 Sn 0.500 0.252 0.000
10 Sn 0.500 0.748 0.000
11 Sn 0.833 0.252 0.666
12 Sn 0.833 0.748 0.666

(2)
The following is a PBE calculation of a geometry-optimized Ce4Sm3Sn4 structure, from the Alexandria database.

a = 9.772 Å, b = 9.772 Å, c = 9.772 Å
α = 156.72°, β = 115.08°, γ = 69.98°
Sites, in units of the cell vectors:
1 Ce 0.036 0.807 0.229
2 Ce 0.422 0.193 0.229
3 Ce 0.578 0.807 0.771
4 Ce 0.964 0.193 0.771
5 Sm 0.000 0.500 0.500
6 Sm 0.390 0.390 0.000
7 Sm 0.610 0.610 0.000
8 Sn 0.223 0.723 0.500
9 Sn 0.283 0.000 0.283
10 Sn 0.717 0.000 0.717
11 Sn 0.777 0.277 0.500

(3)
The following is a PBE calculation of a geometry-optimized CeSmSn structure, from the Alexandria database.

a = 12.601 Å, b = 12.601 Å, c = 12.601 Å
α = 162.40°, β = 162.40°, γ = 24.98°
Sites, in units of the cell vectors:
1 Ce 0.222 0.222 0.000
2 Ce 0.778 0.778 0.000
3 Sm 0.073 0.073 0.000
4 Sm 0.927 0.927 0.000
5 Sn 0.354 0.354 0.000
6 Sn 0.646 0.646 0.000

(4)
The following is a PBE calculation of a geometry-optimized CeSm3Sn3 structure, from the Alexandria database.

a = 9.366 Å, b = 9.366 Å, c = 5.444 Å
α = 90.00°, β = 90.00°, γ = 120.00°
Sites, in units of the cell vectors:
1 Ce 0.333 0.667 0.250
2 Ce 0.667 0.333 0.750
3 Sm 0.003 0.243 0.250
4 Sm 0.240 0.997 0.250
5 Sm 0.243 0.240 0.750
6 Sm 0.757 0.760 0.250
7 Sm 0.760 0.003 0.750
8 Sm 0.997 0.757 0.750
9 Sn 0.075 0.452 0.750
10 Sn 0.378 0.925 0.750
11 Sn 0.452 0.378 0.250
12 Sn 0.548 0.622 0.750
13 Sn 0.622 0.075 0.250
14 Sn 0.925 0.548 0.250

(5)
The following is a PBE calculation of a geometry-optimized CeSmSn structure, from the Alexandria database.

a = 5.752 Å, b = 5.752 Å, c = 5.752 Å
α = 137.50°, β = 137.50°, γ = 61.67°
Sites, in units of the cell vectors:
1 Ce 0.000 0.000 0.000
2 Sm 0.697 0.697 0.000
3 Sn 0.347 0.347 0.000

(6)
The following is a PBE calculation of a geometry-optimized Ce4SmSn2 structure, from the Alexandria database.

a = 11.107 Å, b = 11.107 Å, c = 11.107 Å
α = 158.31°, β = 158.31°, γ = 30.86°
Sites, in units of the cell vectors:
1 Ce 0.151 0.151 0.000
2 Ce 0.250 0.750 0.500
3 Ce 0.750 0.250 0.500
4 Ce 0.849 0.849 0.000
5 Sm 0.000 0.000 0.000
6 Sn 0.424 0.424 0.000
7 Sn 0.576 0.576 0.000

(7)
The following is a PBE calculation of a geometry-optimized Ce2Sm2Sn3 structure, from the Alexandria database.

a = 8.408 Å, b = 8.408 Å, c = 6.079 Å
α = 100.17°, β = 100.17°, γ = 30.80°
Sites, in units of the cell vectors:
1 Ce 0.085 0.085 0.044
2 Ce 0.915 0.915 0.956
3 Sm 0.355 0.355 0.412
4 Sm 0.645 0.645 0.588
5 Sn 0.000 0.000 0.500
6 Sn 0.272 0.272 0.843
7 Sn 0.728 0.728 0.157

(8)
The following is a PBE calculation of a geometry-optimized CeSm2Sn2 structure, from the Alexandria database.

a = 8.045 Å, b = 8.045 Å, c = 8.045 Å
α = 113.45°, β = 84.79°, γ = 133.86°
Sites, in units of the cell vectors:
1 Ce 0.250 0.250 0.000
2 Ce 0.750 0.750 0.000
3 Sm 0.143 0.639 0.782
4 Sm 0.357 0.139 0.496
5 Sm 0.643 0.861 0.504
6 Sm 0.857 0.361 0.218
7 Sn 0.118 0.280 0.398
8 Sn 0.382 0.780 0.163
9 Sn 0.618 0.220 0.837
10 Sn 0.882 0.720 0.602

Number 1: VASP energy -65.66 eV per cell. Number 2: VASP energy -58.70 eV per cell. Number 3: VASP energy -31.08 eV per cell. Number 4: VASP energy -71.28 eV per cell. Number 5: VASP energy -15.92 eV per cell. Number 6: VASP energy -37.24 eV per cell. Number 7: VASP energy -36.77 eV per cell. Number 8: VASP energy -51.46 eV per cell.